[1]
Ba2CuF6 at its PBEsol-relaxed geometry, computed with SCAN.

Properties
Relative energy among the computed polymorphs in eV/f.u.: 0.104
Symmetry: No. 139
N(E_F) in states/eV/f.u.: 0.32

a = 8.3087 Å, b = 8.3087 Å, c = 8.3087 Å
α = 151.26°, β = 151.26°, γ = 41.09°
With the nearest neighbours (Å) after each atom.
Fractional positions:
Ba (0.1482, 0.1482, 0.0000)  4 F 2.60
Ba (0.8518, 0.8518, 0.0000)  4 F 2.60
Cu (0.5000, 0.5000, 0.0000)  6 F 1.88-2.06
F (0.0000, 0.5000, 0.5000)  2 Cu 2.06
F (0.2500, 0.7500, 0.5000)  4 Ba 2.60, 4 F 2.88
F (0.3789, 0.3789, 0.0000)  1 Cu 1.88
F (0.5000, 0.0000, 0.5000)  2 Cu 2.06
F (0.6211, 0.6211, 0.0000)  1 Cu 1.88
F (0.7500, 0.2500, 0.5000)  4 Ba 2.60, 4 F 2.88

[2]
Ba6Cu11F34 at its PBEsol-relaxed geometry, computed with SCAN.

Properties
Symmetry: No. 2

a = 7.4337 Å, b = 9.9305 Å, c = 10.0963 Å
α = 82.23°, β = 72.75°, γ = 71.10°
With the nearest neighbours (Å) after each atom.
Fractional positions:
Ba (0.1388, 0.4048, 0.2801)  11 F 2.68-2.96
Ba (0.1840, 0.1515, 0.9718)  9 F 2.62-2.84
Ba (0.2945, 0.8657, 0.6490)  10 F 2.63-2.94
Ba (0.7055, 0.1343, 0.3510)  10 F 2.63-2.94
Ba (0.8160, 0.8485, 0.0282)  9 F 2.62-2.84
Ba (0.8612, 0.5952, 0.7199)  11 F 2.68-2.96
Cu (0.2048, 0.7492, 0.2837)  4 F 1.89-1.95
Cu (0.2251, 0.2443, 0.6150)  6 F 1.95-2.07
Cu (0.3042, 0.4940, 0.8180)  5 F 1.90-2.06
Cu (0.3137, 0.0125, 0.2915)  6 F 1.93-2.13
Cu (0.3942, 0.7537, 0.9804)  6 F 1.92-2.08
Cu (0.5000, 0.5000, 0.5000)  4 F 1.91-1.98
Cu (0.6058, 0.2463, 0.0196)  6 F 1.92-2.08
Cu (0.6863, 0.9875, 0.7085)  6 F 1.93-2.13
Cu (0.6958, 0.5060, 0.1820)  5 F 1.90-2.06
Cu (0.7749, 0.7557, 0.3850)  6 F 1.95-2.07
Cu (0.7952, 0.2508, 0.7163)  4 F 1.89-1.95
F (0.0087, 0.6324, 0.4379)  1 Cu 1.95
F (0.0476, 0.1287, 0.7432)  2 Cu 1.95-2.07
F (0.0508, 0.6173, 0.9006)  1 Cu 1.90
F (0.0719, 0.1429, 0.2596)  1 Cu 1.93
F (0.1681, 0.8879, 0.9275)  1 Cu 1.94
F (0.1716, 0.3676, 0.7729)  2 Cu 1.99-2.01
F (0.1941, 0.8743, 0.4147)  2 Cu 1.90-1.97
F (0.2294, 0.6446, 0.1331)  2 Cu 1.89-2.08
F (0.2578, 0.6057, 0.6217)  1 Cu 1.91
F (0.3031, 0.1115, 0.4621)  2 Cu 2.00-2.06
F (0.3587, 0.3592, 0.9847)  2 Cu 1.92-2.06
F (0.3748, 0.9021, 0.1090)  2 Cu 2.04-2.13
F (0.3875, 0.3536, 0.4738)  2 Cu 1.98-2.02
F (0.4225, 0.1017, 0.6954)  2 Cu 1.95-1.97
F (0.4369, 0.1487, 0.1758)  2 Cu 1.94-2.05
F (0.4403, 0.6316, 0.8253)  2 Cu 1.97-1.99
F (0.4462, 0.6157, 0.3105)  2 Cu 1.92-1.99
F (0.5538, 0.3843, 0.6895)  2 Cu 1.92-1.99
F (0.5597, 0.3684, 0.1747)  2 Cu 1.97-1.99
F (0.5631, 0.8513, 0.8242)  2 Cu 1.94-2.05
F (0.5775, 0.8983, 0.3046)  2 Cu 1.95-1.97
F (0.6125, 0.6464, 0.5262)  2 Cu 1.98-2.02
F (0.6252, 0.0979, 0.8910)  2 Cu 2.04-2.13
F (0.6413, 0.6408, 0.0153)  2 Cu 1.92-2.06
F (0.6969, 0.8885, 0.5379)  2 Cu 2.00-2.06
F (0.7422, 0.3943, 0.3783)  1 Cu 1.91
F (0.7706, 0.3554, 0.8669)  2 Cu 1.89-2.08
F (0.8059, 0.1257, 0.5853)  2 Cu 1.90-1.97
F (0.8284, 0.6324, 0.2271)  2 Cu 1.99-2.01
F (0.8319, 0.1121, 0.0725)  1 Cu 1.94
F (0.9281, 0.8571, 0.7404)  1 Cu 1.93
F (0.9492, 0.3827, 0.0994)  1 Cu 1.90
F (0.9524, 0.8713, 0.2568)  2 Cu 1.95-2.07
F (0.9913, 0.3676, 0.5621)  1 Cu 1.95

In order of appearance, uncorrected formation energy = -3.37 -2.65 eV/atom.
In order of appearance, V = 14.70 13.19 A^3/atom.